[1]
Entry from Alexandria via LeMat-Bulk: crystalline KSc3Hg at its relaxed geometry (PBE-GGA).

## Properties
The calculation puts the calculated formation energy at 0.4207 eV per atom. The space-group type is Pm-3m (221). For the total energy, the calculation gives -18.3 eV for the cell shown. For the spin magnetization, the calculation gives 2.0 μB/f.u. The polymorph energy (0 for the lowest one) comes out at 0 meV/atom. For the calculated density, the calculation gives 3.75 g/cm3.

a = 5.494 Å, b = 5.494 Å, c = 5.494 Å
α = 90.00°, β = 90.00°, γ = 90.00°
Each line ends with the local moment (μB).
Element x y z (fractional)
Sc (0.000, 0.500, 0.000)  0.28
Sc (0.000, 0.000, 0.500)  0.18
Sc (0.500, 0.000, 0.000)  0.47
K (0.500, 0.500, 0.500)  0.02
Hg (0.000, 0.000, 0.000)  0.04


[2]
Entry from Alexandria via LeMat-Bulk: crystalline Tb2Pr5Sc2 at its relaxed geometry (PBE-GGA).

## Properties
The calculation puts the calculated formation energy at 0.1155 eV per atom. The space-group type is C2/m (12). For the total energy, the calculation gives -44.8 eV for the cell shown. For the spin magnetization, the calculation gives 0.0 μB/f.u. The polymorph energy (0 for the lowest one) comes out at 9 meV/atom. For the calculated density, the calculation gives 6.25 g/cm3.

a = 3.494 Å, b = 11.844 Å, c = 10.185 Å
α = 45.37°, β = 80.12°, γ = 81.52°
Element x y z (fractional)
Tb (0.055, 0.340, 0.551)
Tb (0.945, 0.660, 0.449)
Pr (0.338, 0.987, 0.337)
Pr (0.662, 0.013, 0.663)
Pr (0.217, 0.355, 0.211)
Pr (0.783, 0.645, 0.789)
Pr (0.000, 0.000, 0.000)
Sc (0.403, 0.349, 0.845)
Sc (0.597, 0.651, 0.155)


[3]
Entry from Alexandria via LeMat-Bulk: crystalline CaCdAsBr2 at its relaxed geometry (PBE-GGA).

## Properties
The space-group type is P4/mmm (123). For the uncorrected formation energy, the calculation gives -455 meV per atom. For the total energy, the calculation gives -13.2 eV for the cell shown. For the spin magnetization, the calculation gives 1.7 μB/f.u. The polymorph energy (0 for the lowest one) comes out at 0 meV/atom. For the calculated density, the calculation gives 3.45 g/cm3.

a = 5.516 Å, b = 5.516 Å, c = 6.130 Å
α = 90.00°, β = 90.00°, γ = 90.00°
Each line ends with the local moment (μB).
Element x y z (fractional)
As (0.000, 0.000, 0.500)  0.72
Ca (0.000, 0.000, 0.000)  0.01
Br (0.000, 0.500, 0.000)  0.05
Br (0.500, 0.000, 0.000)  0.05
Cd (0.500, 0.500, 0.500)  -0.07


[4]
Entry from Alexandria via LeMat-Bulk: crystalline Sc3AgRh at its relaxed geometry (PBE-GGA).

## Properties
The calculation puts the calculated formation energy at 0.5743 eV per atom. The space-group type is Pm-3m (221). For the total energy, the calculation gives -26.3 eV for the cell shown. For the spin magnetization, the calculation gives 0.0 μB/f.u. The polymorph energy (0 for the lowest one) comes out at 1036 meV/atom. For the calculated density, the calculation gives 4.52 g/cm3.

a = 5.028 Å, b = 5.028 Å, c = 5.028 Å
α = 90.00°, β = 90.00°, γ = 90.00°
Element x y z (fractional)
Sc (0.000, 0.500, 0.000)
Sc (0.000, 0.000, 0.500)
Sc (0.500, 0.000, 0.000)
Rh (0.500, 0.500, 0.500)
Ag (0.000, 0.000, 0.000)